# 1
A plane-wave DFT calculation with PBEsol was carried out for a geometry-optimized Ba2SmReO6 structure.

Raw total energy ... -8.0299 eV per atom
Size of the total moment ... 2.319 Bohr magnetons per cell

The structure in CIF format:
```
data_Ba2SmReO6
_symmetry_space_group_name_H-M 'F m -3 m'
_symmetry_Int_Tables_number 225
_symmetry_space_group_name_Hall '-F 4 2 3'
_cell_length_a 8.4458
_cell_length_b 8.4458
_cell_length_c 8.4458
_cell_angle_alpha 90.00
_cell_angle_beta 90.00
_cell_angle_gamma 90.00
loop_
_atom_site_label
_atom_site_type_symbol
_atom_site_fract_x
_atom_site_fract_y
_atom_site_fract_z
_atom_site_occupancy
Ba1 Ba 0.2500 0.2500 0.2500 1
Sm1 Sm 0.0000 0.0000 0.0000 1
Re1 Re 0.0000 0.0000 0.5000 1
O1 O 0.0000 0.0000 0.2686 1
```



# 2
A plane-wave DFT calculation with PBEsol was carried out for a geometry-optimized Ba2TbReO6 structure.

Raw total energy ... -8.0744 eV per atom
Size of the total moment ... 3.756 Bohr magnetons per cell

The structure in CIF format:
```
data_Ba2TbReO6
_symmetry_space_group_name_H-M 'F m -3 m'
_symmetry_Int_Tables_number 225
_symmetry_space_group_name_Hall '-F 4 2 3'
_cell_length_a 8.3677
_cell_length_b 8.3677
_cell_length_c 8.3677
_cell_angle_alpha 90.00
_cell_angle_beta 90.00
_cell_angle_gamma 90.00
loop_
_atom_site_label
_atom_site_type_symbol
_atom_site_fract_x
_atom_site_fract_y
_atom_site_fract_z
_atom_site_occupancy
Ba1 Ba 0.2500 0.2500 0.2500 1
Tb1 Tb 0.0000 0.0000 0.0000 1
Re1 Re 0.0000 0.0000 0.5000 1
O1 O 0.0000 0.0000 0.2659 1
```



# 3
A plane-wave DFT calculation with PBEsol was carried out for a geometry-optimized Ba2TlReO structure.

Raw total energy ... -4.0020 eV per atom
Size of the total moment ... 2.865 Bohr magnetons per cell

The structure in CIF format:
```
data_Ba2TlReO
_symmetry_space_group_name_H-M 'P 4/m m m'
_symmetry_Int_Tables_number 123
_symmetry_space_group_name_Hall '-P 4 2'
_cell_length_a 6.3555
_cell_length_b 6.3555
_cell_length_c 5.0376
_cell_angle_alpha 90.00
_cell_angle_beta 90.00
_cell_angle_gamma 90.00
loop_
_atom_site_label
_atom_site_type_symbol
_atom_site_fract_x
_atom_site_fract_y
_atom_site_fract_z
_atom_site_occupancy
Ba1 Ba 0.0000 0.5000 0.0000 1
Tl1 Tl 0.0000 0.0000 0.0000 1
Re1 Re 0.0000 0.0000 0.5000 1
O1 O 0.5000 0.5000 0.5000 1
```



# 4
A plane-wave DFT calculation with PBEsol was carried out for a geometry-optimized Ba2TmReO6 structure.

Raw total energy ... -8.1070 eV per atom
Size of the total moment ... 5.343 Bohr magnetons per cell

The structure in CIF format:
```
data_Ba2TmReO6
_symmetry_space_group_name_H-M 'F m -3 m'
_symmetry_Int_Tables_number 225
_symmetry_space_group_name_Hall '-F 4 2 3'
_cell_length_a 8.2919
_cell_length_b 8.2919
_cell_length_c 8.2919
_cell_angle_alpha 90.00
_cell_angle_beta 90.00
_cell_angle_gamma 90.00
loop_
_atom_site_label
_atom_site_type_symbol
_atom_site_fract_x
_atom_site_fract_y
_atom_site_fract_z
_atom_site_occupancy
Ba1 Ba 0.2500 0.2500 0.2500 1
Tm1 Tm 0.0000 0.0000 0.0000 1
Re1 Re 0.0000 0.0000 0.5000 1
O1 O 0.0000 0.0000 0.2632 1
```



# 5
A plane-wave DFT calculation with PBEsol was carried out for a geometry-optimized Ba6YRe3O18 structure.

Raw total energy ... -7.9799 eV per atom
Size of the total moment ... 0.001 Bohr magnetons per cell

The structure in CIF format:
```
data_Ba6YRe3O18
_symmetry_space_group_name_H-M 'C 1 2/m 1'
_symmetry_Int_Tables_number 12
_symmetry_space_group_name_Hall '-C 2y'
_cell_length_a 10.0593
_cell_length_b 17.4183
_cell_length_c 9.9157
_cell_angle_alpha 90.00
_cell_angle_beta 109.77
_cell_angle_gamma 90.00
loop_
_atom_site_label
_atom_site_type_symbol
_atom_site_fract_x
_atom_site_fract_y
_atom_site_fract_z
_atom_site_occupancy
Ba1 Ba 0.1315 0.0000 0.3903 1
Ba2 Ba 0.1310 0.3328 0.3956 1
Ba3 Ba 0.2017 0.1599 0.1255 1
Ba4 Ba 0.2217 0.5000 0.1267 1
Y1 Y 0.0000 0.3331 0.0000 1
Re1 Re 0.0771 0.1661 0.7314 1
Re2 Re 0.0777 0.5000 0.7319 1
O1 O 0.0396 0.4225 0.8612 1
O2 O 0.0450 0.2452 0.8625 1
O3 O 0.0486 0.0949 0.8600 1
O4 O 0.1129 0.1686 0.3705 1
O5 O 0.1154 0.5000 0.3654 1
O6 O 0.1200 0.4214 0.6298 1
O7 O 0.1223 0.0894 0.6273 1
O8 O 0.1258 0.2474 0.6372 1
O9 O 0.2232 0.3326 0.1388 1
O10 O 0.2371 0.0000 0.1383 1
```



# 6
A plane-wave DFT calculation with PBEsol was carried out for a geometry-optimized BaRh3O structure.

Raw total energy ... -3.7983 eV per atom
Size of the total moment ... 3.300 Bohr magnetons per cell

The structure in CIF format:
```
data_BaRh3O
_symmetry_space_group_name_H-M 'P m -3 m'
_symmetry_Int_Tables_number 221
_symmetry_space_group_name_Hall '-P 4 2 3'
_cell_length_a 5.0074
_cell_length_b 5.0074
_cell_length_c 5.0074
_cell_angle_alpha 90.00
_cell_angle_beta 90.00
_cell_angle_gamma 90.00
loop_
_atom_site_label
_atom_site_type_symbol
_atom_site_fract_x
_atom_site_fract_y
_atom_site_fract_z
_atom_site_occupancy
Ba1 Ba 0.0000 0.0000 0.0000 1
Rh1 Rh 0.0000 0.0000 0.5000 1
O1 O 0.5000 0.5000 0.5000 1
```